(1)
! Al2GaMo, relaxed, DFT PBE-GGA; values from VASP
&SYSTEM
  ibrav = 0, nat = 8, ntyp = 3
/
ATOMIC_SPECIES
Mo 95.94 Mo.upf
Al 26.98 Al.upf
Ga 69.72 Ga.upf
ATOMIC_POSITIONS crystal
Mo 0.0000 0.0000 0.0000
Mo 0.7500 0.2500 0.5000
Al 0.6185 0.1250 0.2500
Al 0.1315 0.6250 0.2500
Al 0.3750 0.3815 0.7500
Al 0.8750 0.8685 0.7500
Ga 0.5000 0.5000 0.0000
Ga 0.2500 0.7500 0.5000
CELL_PARAMETERS angstrom
-2.7763 6.5638 1.1254
-6.2345 -2.1330 -2.9393
-5.3600 1.4476 1.4630
! **ρ**: 5.32 g/cm³
! **Formation enthalpy at 0 K**: 1.52 eV/f.u.
! **E**: -39.641 eV for the cell shown
! **Magnetization**: 0.00 μB per formula unit
! **Symmetry**: I-42d, No. 122


(2)
! Mn2SnBi, relaxed, DFT PBE-GGA; values from VASP
&SYSTEM
  ibrav = 0, nat = 8, ntyp = 3
/
ATOMIC_SPECIES
Mn 54.94 Mn.upf
Bi 208.98 Bi.upf
Sn 118.71 Sn.upf
ATOMIC_POSITIONS crystal
Mn 0.6159 0.1250 0.2500
Mn 0.1341 0.6250 0.2500
Mn 0.3750 0.3841 0.7500
Mn 0.8750 0.8659 0.7500
Bi 0.0000 0.0000 0.0000
Bi 0.7500 0.2500 0.5000
Sn 0.5000 0.5000 0.0000
Sn 0.2500 0.7500 0.5000
CELL_PARAMETERS angstrom
7.6184 0.0000 0.0000
0.0000 7.6184 0.0000
3.8092 3.8092 3.1700
! **ρ**: 7.90 g/cm³
! **Formation enthalpy at 0 K**: 1.93 eV/f.u.
! **E**: -48.579 eV for the cell shown
! **Magnetization**: 7.62 μB per formula unit
! **Symmetry**: I-42d, No. 122


(3)
! HgPbCl3, relaxed, DFT PBE-GGA; values from VASP
&SYSTEM
  ibrav = 0, nat = 5, ntyp = 3
/
ATOMIC_SPECIES
Pb 207.20 Pb.upf
Hg 200.59 Hg.upf
Cl 35.45 Cl.upf
ATOMIC_POSITIONS crystal
Pb 0.0000 0.0000 0.0000
Hg 0.5000 0.5000 0.5000
Cl 0.0000 0.5000 0.0000
Cl 0.0000 0.0000 0.5000
Cl 0.5000 0.0000 0.0000
CELL_PARAMETERS angstrom
-5.1838 1.4045 -1.3014
0.2465 -3.2353 -4.4732
-1.8988 -4.2542 2.9723
! **ρ**: 5.06 g/cm³
! **E**: -12.551 eV for the cell shown
! **Offset from the most stable computed form**: 143 meV/atom
! **Magnetization**: 0.53 μB per formula unit
! **Symmetry**: Pm-3m, No. 221
! **Raw formation energy**: -0.600 eV/atom


(4)
! CdHO3, relaxed, DFT PBE-GGA; values from VASP
&SYSTEM
  ibrav = 0, nat = 5, ntyp = 3
/
ATOMIC_SPECIES
H 1.01 H.upf
O 16.00 O.upf
Cd 112.41 Cd.upf
ATOMIC_POSITIONS crystal
H 0.5000 0.5000 0.5000
O 0.0000 0.5000 0.0000
O 0.0000 0.0000 0.5000
O 0.5000 0.0000 0.0000
Cd 0.0000 0.0000 0.0000
CELL_PARAMETERS angstrom
-2.2329 -2.0121 2.9285
3.4938 -0.6139 2.2421
-0.6467 3.6311 2.0018
! **ρ**: 3.63 g/cm³
! **E**: -13.655 eV for the cell shown
! **Magnetization**: 2.43 μB per formula unit
! **Symmetry**: Pm-3m, No. 221


(5)
! CaTe2PtN, relaxed, DFT PBE-GGA; values from VASP
&SYSTEM
  ibrav = 0, nat = 5, ntyp = 4
/
ATOMIC_SPECIES
Ca 40.08 Ca.upf
Te 127.60 Te.upf
Pt 195.08 Pt.upf
N 14.01 N.upf
ATOMIC_POSITIONS crystal
Ca 0.0000 0.0000 0.0000
Te 0.0000 0.5000 0.0000
Te 0.5000 0.0000 0.0000
Pt 0.5000 0.5000 0.5000
N 0.0000 0.0000 0.5000
CELL_PARAMETERS angstrom
5.7835 0.0000 0.0000
0.0000 5.7835 0.0000
0.0000 0.0000 3.8988
! **ρ**: 6.42 g/cm³
! **E**: -16.779 eV for the cell shown
! **Offset from the most stable computed form**: 1361 meV/atom
! **Magnetization**: 0.00 μB per formula unit
! **Symmetry**: P4/mmm, No. 123
! **Raw formation energy**: 1.174 eV/atom


(6)
! MgZrOs, relaxed, DFT PBE-GGA; values from VASP
&SYSTEM
  ibrav = 0, nat = 3, ntyp = 3
/
ATOMIC_SPECIES
Mg 24.30 Mg.upf
Os 190.23 Os.upf
Zr 91.22 Zr.upf
ATOMIC_POSITIONS crystal
Mg 0.5000 0.5000 0.5000
Os 0.7500 0.7500 0.7500
Zr 0.0000 0.0000 0.0000
CELL_PARAMETERS angstrom
-3.2327 -0.8817 -2.9756
0.6995 -3.0145 -3.2412
-2.1303 -3.9411 0.1077
! **ρ**: 7.98 g/cm³
! **Formation enthalpy at 0 K**: 0.24 eV/f.u.
! **E**: -21.135 eV for the cell shown
! **Magnetization**: 0.00 μB per formula unit
! **Symmetry**: F-43m, No. 216


(7)
! In3BiPb3, relaxed, DFT PBE-GGA; values from VASP
&SYSTEM
  ibrav = 0, nat = 14, ntyp = 3
/
ATOMIC_SPECIES
In 114.82 In.upf
Bi 208.98 Bi.upf
Pb 207.20 Pb.upf
ATOMIC_POSITIONS crystal
In 0.7500 0.0417 0.8128
In 0.7500 0.7711 0.9583
In 0.2500 0.8128 0.7711
In 0.7500 0.1872 0.2289
In 0.2500 0.2289 0.0417
In 0.2500 0.9583 0.1872
Bi 0.2500 0.6667 0.3333
Bi 0.7500 0.3333 0.6667
Pb 0.7500 0.6180 0.5287
Pb 0.7500 0.9108 0.3820
Pb 0.2500 0.5287 0.9108
Pb 0.7500 0.4713 0.0892
Pb 0.2500 0.0892 0.6180
Pb 0.2500 0.3820 0.4713
CELL_PARAMETERS angstrom
-5.4564 1.0847 -2.0018
-1.7849 -8.8998 0.0426
-1.7104 5.0074 7.3753
! **ρ**: 9.25 g/cm³
! **Formation enthalpy at 0 K**: 0.27 eV/f.u.
! **E**: -45.908 eV for the cell shown
! **Offset from the most stable computed form**: 0 meV/atom
! **Magnetization**: 0.00 μB per formula unit
! **Symmetry**: P6_3/m, No. 176


(8)
! B2PI, relaxed, DFT PBE-GGA; values from VASP
&SYSTEM
  ibrav = 0, nat = 4, ntyp = 3
/
ATOMIC_SPECIES
I 126.90 I.upf
P 30.97 P.upf
B 10.81 B.upf
ATOMIC_POSITIONS crystal
I 0.5000 0.5000 0.5000
P 0.0000 0.0000 0.0000
B 0.2500 0.2500 0.2500
B 0.7500 0.7500 0.7500
CELL_PARAMETERS angstrom
-0.8172 -3.4447 -2.4621
-4.0731 -1.2254 -0.7101
-1.7549 0.5090 -3.9060
! **ρ**: 5.26 g/cm³
! **E**: -12.020 eV for the cell shown
! **Offset from the most stable computed form**: 1268 meV/atom
! **Magnetization**: 0.00 μB per formula unit
! **Symmetry**: Fm-3m, No. 225
! **Raw formation energy**: 2.074 eV/atom